Record 1
Material: CsTe2IO
Method: DFT, GGA-PBEsol
State: optimized geometry

Cell: 4.6967 4.6967 7.1523 Å, 90.00 90.00 90.00°
Atoms (fractional coordinates):
Cs (0.0000, 0.0000, 0.0000)
Te (0.0000, 0.5000, 0.5000)
Te (0.5000, 0.0000, 0.5000)
I (0.5000, 0.5000, 0.0000)
O (0.5000, 0.5000, 0.5000)

Values from the calculation:
E above lowest polymorph	0	kJ/mol of formula units
formation energy without anion corrections	-0.32	eV/atom

=====

Record 2
Material: CsTe2IO
Method: DFT, GGA-PBEsol
State: optimized geometry

Cell: 7.2676 7.2676 7.0331 Å, 90.00 90.00 90.00°
Atoms (fractional coordinates):
Cs (0.0000, 0.0000, 0.0000)
Te (0.0000, 0.5000, 0.0000)
Te (0.5000, 0.0000, 0.0000)
I (0.0000, 0.0000, 0.5000)
O (0.5000, 0.5000, 0.5000)

Values from the calculation:
E above lowest polymorph	731	kJ/mol of formula units
formation energy without anion corrections	1.20	eV/atom

=====

Record 3
Material: CsZrI2O
Method: DFT, GGA-PBEsol
State: optimized geometry

Cell: 6.0657 6.0657 4.0530 Å, 90.00 90.00 90.00°
Atoms (fractional coordinates):
Cs (0.0000, 0.0000, 0.0000)
Zr (0.5000, 0.5000, 0.5000)
I (0.0000, 0.5000, 0.5000)
I (0.5000, 0.0000, 0.5000)
O (0.5000, 0.5000, 0.0000)

Values from the calculation:
formation energy without anion corrections	-1.57	eV/atom

=====

Record 4
Material: Cs2ZrI6O18
Method: DFT, GGA-PBEsol
State: optimized geometry

Cell: 7.8021 7.8021 7.8021 Å, 97.67 97.67 97.67°
Atoms (fractional coordinates):
Cs (0.1621, 0.1621, 0.1621)
Cs (0.8379, 0.8379, 0.8379)
Zr (0.5000, 0.5000, 0.5000)
I (0.1134, 0.7019, 0.3417)
I (0.2981, 0.6583, 0.8866)
I (0.3417, 0.1134, 0.7019)
I (0.6583, 0.8866, 0.2981)
I (0.7019, 0.3417, 0.1134)
I (0.8866, 0.2981, 0.6583)
O (0.0908, 0.6939, 0.1063)
O (0.1025, 0.5905, 0.7206)
O (0.1063, 0.0908, 0.6939)
O (0.2731, 0.5441, 0.3534)
O (0.2794, 0.8975, 0.4095)
O (0.3061, 0.8937, 0.9092)
O (0.3534, 0.2731, 0.5441)
O (0.4095, 0.2794, 0.8975)
O (0.4559, 0.6466, 0.7269)
O (0.5441, 0.3534, 0.2731)
O (0.5905, 0.7206, 0.1025)
O (0.6466, 0.7269, 0.4559)
O (0.6939, 0.1063, 0.0908)
O (0.7206, 0.1025, 0.5905)
O (0.7269, 0.4559, 0.6466)
O (0.8937, 0.9092, 0.3061)
O (0.8975, 0.4095, 0.2794)
O (0.9092, 0.3061, 0.8937)

Values from the calculation:
formation energy without anion corrections	-0.94	eV/atom

=====

Record 5
Material: Cs2Pr10Os2I17
Method: DFT, GGA-PBEsol
State: optimized geometry

Cell: 11.5282 11.5282 9.8889 Å, 93.50 93.50 107.85°
Atoms (fractional coordinates):
Cs (0.1733, 0.8267, 0.0000)
Cs (0.8267, 0.1733, 0.0000)
Pr (0.1697, 0.1697, 0.4433)
Pr (0.2069, 0.5102, 0.5719)
Pr (0.2922, 0.2922, 0.8210)
Pr (0.4364, 0.4364, 0.3145)
Pr (0.4898, 0.7931, 0.4281)
Pr (0.5102, 0.2069, 0.5719)
Pr (0.5636, 0.5636, 0.6855)
Pr (0.7078, 0.7078, 0.1790)
Pr (0.7931, 0.4898, 0.4281)
Pr (0.8303, 0.8303, 0.5567)
Os (0.3599, 0.3599, 0.5697)
Os (0.6401, 0.6401, 0.4303)
I (0.0294, 0.6907, 0.5797)
I (0.0620, 0.0620, 0.7184)
I (0.1154, 0.4534, 0.8622)
I (0.2088, 0.2088, 0.1299)
I (0.2491, 0.5990, 0.2697)
I (0.3093, 0.9706, 0.4203)
I (0.4010, 0.7509, 0.7303)
I (0.4534, 0.1154, 0.8622)
I (0.5000, 0.5000, 0.0000)
I (0.5466, 0.8846, 0.1378)
I (0.5990, 0.2491, 0.2697)
I (0.6907, 0.0294, 0.5797)
I (0.7509, 0.4010, 0.7303)
I (0.7912, 0.7912, 0.8701)
I (0.8846, 0.5466, 0.1378)
I (0.9380, 0.9380, 0.2816)
I (0.9706, 0.3093, 0.4203)

Values from the calculation:
formation energy without anion corrections	-1.22	eV/atom

=====

Record 6
Material: CsTe2OsI
Method: DFT, GGA-PBEsol
State: optimized geometry

Cell: 5.1980 5.1980 5.9421 Å, 90.00 90.00 90.00°
Atoms (fractional coordinates):
Cs (0.0000, 0.0000, 0.0000)
Te (0.0000, 0.5000, 0.5000)
Te (0.5000, 0.0000, 0.5000)
Os (0.5000, 0.5000, 0.5000)
I (0.5000, 0.5000, 0.0000)

Values from the calculation:
formation energy without anion corrections	0.04	eV/atom

=====

Record 7
Material: CsTeOsI2
Method: DFT, GGA-PBEsol
State: optimized geometry

Cell: 5.7505 5.7505 4.9880 Å, 90.00 90.00 90.00°
Atoms (fractional coordinates):
Cs (0.0000, 0.0000, 0.0000)
Te (0.5000, 0.5000, 0.0000)
Os (0.5000, 0.5000, 0.5000)
I (0.0000, 0.5000, 0.5000)
I (0.5000, 0.0000, 0.5000)

Values from the calculation:
formation energy without anion corrections	-0.07	eV/atom

=====

Record 8
Material: Cs2PI2
Method: DFT, GGA-PBEsol
State: optimized geometry

Cell: 6.9653 6.9653 6.9653 Å, 116.91 116.91 95.45°
Atoms (fractional coordinates):
Cs (0.2500, 0.7500, 0.5000)
Cs (0.7500, 0.2500, 0.5000)
P (0.0000, 0.0000, 0.0000)
I (0.2986, 0.2986, 0.0000)
I (0.7014, 0.7014, 0.0000)

Values from the calculation:
formation energy without anion corrections	-0.53	eV/atom

=====

Record 9
Material: CsPd2I
Method: DFT, GGA-PBEsol
State: optimized geometry

Cell: 5.1223 5.1223 5.1223 Å, 60.00 60.00 60.00°
Atoms (fractional coordinates):
Cs (0.0000, 0.0000, 0.0000)
Pd (0.2500, 0.2500, 0.2500)
Pd (0.7500, 0.7500, 0.7500)
I (0.5000, 0.5000, 0.5000)

Values from the calculation:
formation energy without anion corrections	0.23	eV/atom

=====

Record 10
Material: CsPt3I
Method: DFT, GGA-PBEsol
State: optimized geometry

Cell: 5.0692 5.0692 5.0692 Å, 90.00 90.00 90.00°
Atoms (fractional coordinates):
Cs (0.0000, 0.0000, 0.0000)
Pt (0.0000, 0.5000, 0.5000)
Pt (0.5000, 0.0000, 0.5000)
Pt (0.5000, 0.5000, 0.0000)
I (0.5000, 0.5000, 0.5000)

Values from the calculation:
formation energy without anion corrections	0.73	eV/atom

=====

Record 11
Material: Cs3PtI
Method: DFT, GGA-PBEsol
State: optimized geometry

Cell: 6.3978 6.3978 6.3978 Å, 90.00 90.00 90.00°
Atoms (fractional coordinates):
Cs (0.0000, 0.0000, 0.5000)
Cs (0.0000, 0.5000, 0.0000)
Cs (0.5000, 0.0000, 0.0000)
Pt (0.0000, 0.0000, 0.0000)
I (0.5000, 0.5000, 0.5000)

Values from the calculation:
formation energy without anion corrections	-0.51	eV/atom

=====

Record 12
Material: Cs2RbSbI6
Method: DFT, GGA-PBEsol
State: optimized geometry

Cell: 8.9877 8.9877 8.9877 Å, 60.00 60.00 60.00°
Atoms (fractional coordinates):
Cs (0.2500, 0.2500, 0.2500)
Cs (0.7500, 0.7500, 0.7500)
Rb (0.0000, 0.0000, 0.0000)
Sb (0.5000, 0.5000, 0.5000)
I (0.2658, 0.2658, 0.7342)
I (0.2658, 0.7342, 0.2658)
I (0.2658, 0.7342, 0.7342)
I (0.7342, 0.2658, 0.2658)
I (0.7342, 0.2658, 0.7342)
I (0.7342, 0.7342, 0.2658)

Values from the calculation:
formation energy without anion corrections	-1.00	eV/atom